YGePdCl2 | GGA-PBE | relaxed

Fermi-level density of states	2.15	states/eV per cell
spin magnetization	0.00	μB/f.u.

Cell lengths 4.7467, 4.7467, 5.6479 Å; angles 90.00, 90.00, 90.00 degrees
Closest atoms and distances in Å follow each position.
Space group P4/mmm (No. 123)
One atom of each set of equivalent atoms:
Y (0.0000, 0.0000, 0.0000) [1 per cell]  2 Pd 2.82
Ge (0.5000, 0.5000, 0.0000) [1 per cell]  4 Y 3.36, 8 Cl 3.69
Pd (0.0000, 0.0000, 0.5000) [1 per cell]  4 Cl 2.37
Cl (0.0000, 0.5000, 0.5000) [2 per cell]  2 Pd 2.37

MgSiBr2 | GGA-PBE | relaxed

polymorph energy (0 for the lowest one)	221	meV per atom
Fermi-level density of states	2.48	states/eV per cell
spin magnetization	0.00	μB/f.u.

Cell lengths 3.4328, 6.3410, 9.5781 Å; angles 90.00, 90.00, 90.00 degrees
Closest atoms and distances in Å follow each position.
Space group Immm (No. 71)
One atom of each set of equivalent atoms:
Mg (0.0000, 0.0000, 0.0000) [2 per cell]  4 Br 2.59
Si (0.0000, 0.0000, 0.5000) [2 per cell]  8 Br 3.33-3.71, 2 Si 3.43, 4 Mg 3.61
Br (0.0000, 0.5000, 0.2980) [4 per cell]  2 Mg 2.59

So what do the calculations give for uncorrected energy? Going down the list: -4.2263; -2.7244 eV per atom.